No. 1
Material: NpCl5
Method: DFT, PBE
State: optimized geometry

The structure in POSCAR format:
```
NpCl5
1.0
9.597 0.000 0.000
0.000 4.088 0.000
0.000 0.000 8.414
Np Cl
2 10
Direct
0.250 0.000 0.191 Np
0.750 0.000 0.809 Np
0.000 0.000 0.000 Cl
0.076 0.500 0.282 Cl
0.250 0.000 0.493 Cl
0.250 0.500 0.962 Cl
0.424 0.500 0.282 Cl
0.500 0.000 0.000 Cl
0.576 0.500 0.718 Cl
0.750 0.000 0.507 Cl
0.750 0.500 0.038 Cl
0.924 0.500 0.718 Cl
```

Results
**ΔE_f (raw)**: -694 kJ/mol of formula units
**E above lowest polymorph**: 1.38 eV per formula unit
**Mass density**: 4.2 g/cm3
**Symmetry**: No. 51

---

No. 2
Material: NpCl3
Method: DFT, PBE
State: optimized geometry

The structure in POSCAR format:
```
NpCl3
1.0
7.450 0.000 0.000
-3.725 6.452 0.000
0.000 0.000 4.282
Np Cl
2 6
Direct
0.333 0.667 0.250 Np
0.667 0.333 0.750 Np
0.086 0.391 0.750 Cl
0.305 0.914 0.750 Cl
0.391 0.305 0.250 Cl
0.609 0.695 0.750 Cl
0.695 0.086 0.250 Cl
0.914 0.609 0.250 Cl
```

Results
**ΔE_f (raw)**: -663 kJ/mol of formula units
**Mass density**: 5.5 g/cm3
**Symmetry**: No. 176

---

No. 3
Material: NpCl2
Method: DFT, PBE
State: optimized geometry

The structure in POSCAR format:
```
NpCl2
1.0
3.438 0.000 0.000
1.710 6.911 0.000
0.000 0.066 7.739
Np Cl
2 4
Direct
0.231 0.039 0.396 Np
0.769 0.961 0.604 Np
0.112 0.277 0.677 Cl
0.349 0.800 0.829 Cl
0.651 0.200 0.171 Cl
0.888 0.723 0.323 Cl
```

Results
**ΔE_f (raw)**: -379 kJ/mol of formula units
**Mass density**: 5.6 g/cm3
**Symmetry**: No. 2

---

No. 4
Material: Np3Cl8
Method: DFT, PBE
State: optimized geometry

The structure in POSCAR format:
```
Np3Cl8
1.0
6.748 0.000 0.000
0.000 6.748 0.000
0.000 0.000 6.748
Np Cl
3 8
Direct
0.000 0.000 0.500 Np
0.000 0.500 0.000 Np
0.500 0.000 0.000 Np
0.246 0.246 0.246 Cl
0.246 0.246 0.754 Cl
0.246 0.754 0.246 Cl
0.246 0.754 0.754 Cl
0.754 0.246 0.246 Cl
0.754 0.246 0.754 Cl
0.754 0.754 0.246 Cl
0.754 0.754 0.754 Cl
```

Results
**ΔE_f (raw)**: -1736 kJ/mol of formula units
**Mass density**: 5.4 g/cm3
**Symmetry**: No. 221

---

No. 5
Material: Np4Cl
Method: DFT, PBE
State: optimized geometry

The structure in POSCAR format:
```
Np4Cl
1.0
5.121 0.000 0.000
0.000 5.121 0.000
0.000 0.000 5.121
Np Cl
4 1
Direct
0.000 0.000 0.000 Np
0.000 0.500 0.500 Np
0.500 0.000 0.500 Np
0.500 0.500 0.000 Np
0.500 0.500 0.500 Cl
```

Results
**ΔE_f (raw)**: 327 kJ/mol of formula units
**Mass density**: 12.2 g/cm3
**Symmetry**: No. 221

---

No. 6
Material: NpCl4
Method: DFT, PBE
State: optimized geometry

The structure in POSCAR format:
```
NpCl4
1.0
-4.157 4.157 3.910
4.157 -4.157 3.910
4.157 4.157 -3.910
Np Cl
2 8
Direct
0.375 0.625 0.750 Np
0.625 0.375 0.250 Np
0.126 0.688 0.438 Cl
0.251 0.312 0.938 Cl
0.312 0.251 0.438 Cl
0.312 0.874 0.062 Cl
0.688 0.126 0.938 Cl
0.688 0.749 0.562 Cl
0.749 0.688 0.062 Cl
0.874 0.312 0.562 Cl
```

Results
**ΔE_f (raw)**: -762 kJ/mol of formula units
**Mass density**: 4.7 g/cm3
**Symmetry**: No. 141

---

No. 7
Material: NpCl5
Method: DFT, PBE
State: optimized geometry

The structure in POSCAR format:
```
NpCl5
1.0
9.235 0.000 0.000
0.000 9.235 0.000
0.000 0.000 5.337
Np Cl
2 10
Direct
0.000 0.000 0.000 Np
0.500 0.500 0.500 Np
0.000 0.000 0.500 Cl
0.062 0.740 0.000 Cl
0.240 0.438 0.500 Cl
0.260 0.062 0.000 Cl
0.438 0.760 0.500 Cl
0.500 0.500 0.000 Cl
0.562 0.240 0.500 Cl
0.740 0.938 0.000 Cl
0.760 0.562 0.500 Cl
0.938 0.260 0.000 Cl
```

Results
**ΔE_f (raw)**: -827 kJ/mol of formula units
**E above lowest polymorph**: 0.00 eV per formula unit
**Mass density**: 3.0 g/cm3
**Symmetry**: No. 87

---

No. 8
Material: Np2Cl13
Method: DFT, PBE
State: optimized geometry

The structure in POSCAR format:
```
Np2Cl13
1.0
7.400 0.000 0.000
2.624 8.436 0.000
2.210 3.051 9.536
Np Cl
2 13
Direct
0.151 0.127 0.236 Np
0.849 0.873 0.764 Np
0.000 0.000 0.500 Cl
0.129 0.881 0.185 Cl
0.167 0.368 0.296 Cl
0.175 0.730 0.825 Cl
0.289 0.242 0.993 Cl
0.421 0.540 0.579 Cl
0.469 0.980 0.307 Cl
0.531 0.020 0.693 Cl
0.579 0.460 0.421 Cl
0.711 0.758 0.007 Cl
0.825 0.270 0.175 Cl
0.833 0.632 0.704 Cl
0.871 0.119 0.815 Cl
```

Results
**ΔE_f (raw)**: -1700 kJ/mol of formula units
**Mass density**: 2.6 g/cm3
**Symmetry**: No. 2